Below is an optimized crystal structure of Cs2SrFeBr6, with properties calculated at the PBE level.

Lattice parameters (Å, degrees): 7.9663 7.9663 7.1632 90.00 90.00 120.00
Atoms (fractional coordinates):
Cs1 0.3333 0.6667 0.1900
Cs2 0.6667 0.3333 0.8100
Sr1 0.0000 0.0000 0.5000
Fe1 0.0000 0.0000 0.0000
Br1 0.1599 0.3197 0.7872
Br2 0.1599 0.8401 0.7872
Br3 0.3197 0.1599 0.2128
Br4 0.6803 0.8401 0.7872
Br5 0.8401 0.1599 0.2128
Br6 0.8401 0.6803 0.2128

Formation energy without anion corrections (eV per atom): -1.48
Offset from the most stable computed form (eV/atom): 0.0000
Crystal system: trigonal
SG: No. 164